# YTcW2

Crystalline YTcW2 at its relaxed geometry (PBE-GGA, Alexandria).

Cell: 2.8945 4.6463 5.3945 Å, 90.00 101.82 90.00°
Closest atoms and distances in Å follow each position.
Sites, in units of the cell vectors:
Y: 0.0000 0.0000 0.0000  2 Tc 2.79, 2 Y 2.89, 4 W 2.91
Tc: 0.5000 0.0000 0.5000  2 Y 2.79, 4 W 2.80, 2 Tc 2.89
W: 0.2701 0.5000 0.7376  4 W 2.72-2.89, 2 Tc 2.80, 2 Y 2.91
W: 0.7299 0.5000 0.2624  4 W 2.72-2.89, 2 Tc 2.80, 2 Y 2.91

## Properties
V in Å³ per atom: 17.8
Mass density in g cm⁻³: 13.0
Total DFT energy (no corrections) in eV/atom: -10.28
Calculated formation energy in meV per atom: 405
Energy above the lowest structure with this stoichiometry in meV/atom: 174
Total magnetization in μB per formula unit: 0.00